First-principles (PBE) data for a relaxed Th4Co2Te crystal, as listed in Alexandria via LeMat-Bulk.

a = 4.0143 Å, b = 4.0143 Å, c = 41.3837 Å
α = 90.00°, β = 90.00°, γ = 120.00°
Space group R-3m (No. 166, hexagonal axes)
Inequivalent atoms, fractional coordinates:
Th1 0.0000 0.0000 0.1293
Th2 0.0000 0.0000 0.2762
Co1 0.0000 0.0000 0.4275
Te1 0.0000 0.0000 0.0000

Values from the calculation:
The calculation puts the energy at -150.84 eV/cell. The density of states at the Fermi level is 17.3 states/eV/cell. For the volume, the calculation gives 27.50 Å³ per atom. The size of the total moment is 0.001 Bohr magnetons per cell. The calculation puts the uncorrected formation energy at -464 meV per atom.